1.
First-principles (GGA-PBE) data for an optimized crystal structure of InReTe2, as listed in the Alexandria database.

Values from the calculation:
- Calculated volume: 24.30 A^3/atom
- Raw formation energy: 609 meV per atom
- E_tot: -4.758 eV per atom

Cell lengths 3.1437, 3.1437, 10.8488 Å; angles 90.00, 90.00, 114.95 degrees
Closest atoms and distances in Å follow each position.
Positions (direct):
In: 0.0000 0.0000 0.5399  2 Re 2.85, 4 In 3.14
Re: 0.5000 0.5000 0.7516  2 Te 2.66, 2 In 2.85
Te: 0.0000 0.0000 0.9405  2 Re 2.66
Te: 0.5000 0.5000 0.2680  6 Te 3.14-3.38, 2 In 3.40

=====

2.
First-principles (GGA-PBE) data for an optimized crystal structure of CrSb2Cl, as listed in the Alexandria database.

Values from the calculation:
- Calculated volume: 31.95 A^3/atom
- Raw formation energy: -105 meV per atom
- E_tot: -5.034 eV per atom
- Energy above the lowest structure with this stoichiometry: 0.0 meV/atom

Cell lengths 3.4949, 7.1713, 7.9257 Å; angles 40.05, 90.00, 90.00 degrees
Closest atoms and distances in Å follow each position.
Positions (direct):
Sb: 0.0000 0.8201 0.9448  2 Cr 2.88, 2 Sb 2.93
Sb: 0.5000 0.3207 0.2313  2 Cr 2.65-2.74, 2 Sb 2.93
Cl: 0.0000 0.6160 0.6118  2 Cr 2.37
Cr: 0.5000 0.7432 0.7120  2 Cl 2.37, 1 Sb 2.65

=====

3.
First-principles (GGA-PBE) data for an optimized crystal structure of TbPm2Y3As6, as listed in the Alexandria database.

Values from the calculation:
- Energy of formation: -1.541 eV per atom
- Calculated volume: 25.55 A^3/atom
- E_tot: -6.660 eV per atom

Cell lengths 4.1671, 8.3273, 9.3113 Å; angles 102.88, 102.93, 90.00 degrees
Closest atoms and distances in Å follow each position.
Positions (direct):
Tb: 0.5000 0.0000 0.0000  6 As 2.94-2.95
Pm: 0.8339 0.6675 0.6678  6 As 2.97-2.98
Pm: 0.1661 0.3325 0.3322  6 As 2.97-2.98
Y: 0.5000 0.5000 0.0000  6 As 2.92-2.94
Y: 0.8330 0.1663 0.6660  6 As 2.92-2.94
Y: 0.1670 0.8337 0.3340  6 As 2.92-2.94
As: 0.3335 0.9215 0.6670  3 Y 2.92-2.94, 1 Tb 2.94, 2 Pm 2.97
As: 0.6652 0.5870 0.3304  3 Y 2.92, 3 Pm 2.97-2.98
As: 0.6665 0.0785 0.3330  3 Y 2.92-2.94, 1 Tb 2.94, 2 Pm 2.97
As: 0.9982 0.2493 0.9964  3 Y 2.92-2.94, 2 Tb 2.95, 1 Pm 2.97
As: 0.0018 0.7507 0.0036  3 Y 2.92-2.94, 2 Tb 2.95, 1 Pm 2.97
As: 0.3348 0.4130 0.6696  3 Y 2.92, 3 Pm 2.97-2.98

=====

4.
First-principles (GGA-PBE) data for an optimized crystal structure of NdY4Cd5, as listed in the Alexandria database.

Values from the calculation:
- Energy of formation: -0.344 eV per atom
- Calculated volume: 26.85 A^3/atom
- E_tot: -3.864 eV per atom

Cell lengths 3.7624, 3.7624, 18.9705 Å; angles 90.00, 90.00, 90.00 degrees
Closest atoms and distances in Å follow each position.
Positions (direct):
Nd: 0.0000 0.0000 0.0000  8 Cd 3.35
Y: 0.0000 0.0000 0.2040  8 Cd 3.23-3.25
Y: 0.0000 0.0000 0.4015  8 Cd 3.25-3.26
Y: 0.0000 0.0000 0.5985  8 Cd 3.25-3.26
Y: 0.0000 0.0000 0.7960  8 Cd 3.23-3.25
Cd: 0.5000 0.5000 0.1076  4 Y 3.23, 4 Nd 3.35
Cd: 0.5000 0.5000 0.3026  8 Y 3.25-3.26
Cd: 0.5000 0.5000 0.5000  8 Y 3.25
Cd: 0.5000 0.5000 0.6974  8 Y 3.25-3.26
Cd: 0.5000 0.5000 0.8924  4 Y 3.23, 4 Nd 3.35

=====

5.
First-principles (GGA-PBE) data for an optimized crystal structure of Dy2Y4Er3, as listed in the Alexandria database.

Values from the calculation:
- Energy of formation: 0.099 eV per atom
- Calculated volume: 31.54 A^3/atom
- E_tot: -5.317 eV per atom

Cell lengths 6.1293, 11.2248, 11.2248 Å; angles 61.93, 61.69, 61.69 degrees
Closest atoms and distances in Å follow each position.
Positions (direct):
Dy: 0.4178 0.2364 0.5236  4 Y 3.26-3.60, 4 Er 3.36-3.47
Dy: 0.0822 0.4764 0.7636  4 Y 3.26-3.60, 4 Er 3.36-3.47
Dy: 0.5822 0.7636 0.4764  4 Y 3.26-3.60, 4 Er 3.36-3.47
Dy: 0.9178 0.5236 0.2364  4 Y 3.26-3.60, 4 Er 3.36-3.47
Y: 0.4201 0.9033 0.1895  1 Dy 3.26, 4 Er 3.39-3.48, 3 Y 3.40-3.62
Y: 0.0799 0.8105 0.0967  1 Dy 3.26, 4 Er 3.39-3.48, 3 Y 3.40-3.62
Y: 0.5799 0.0967 0.8105  1 Dy 3.26, 4 Er 3.39-3.48, 3 Y 3.40-3.62
Y: 0.9201 0.1895 0.9033  1 Dy 3.26, 4 Er 3.39-3.48, 3 Y 3.40-3.62
Y: 0.0773 0.1473 0.4279  1 Y 3.31, 4 Er 3.37-3.48, 3 Dy 3.40-3.60
Y: 0.4227 0.5721 0.8527  1 Y 3.31, 4 Er 3.37-3.48, 3 Dy 3.40-3.60
Y: 0.9227 0.8527 0.5721  1 Y 3.31, 4 Er 3.37-3.48, 3 Dy 3.40-3.60
Y: 0.5773 0.4279 0.1473  1 Y 3.31, 4 Er 3.37-3.48, 3 Dy 3.40-3.60
Er: 0.7505 0.0695 0.2640  6 Y 3.37-3.48, 2 Dy 3.44-3.47
Er: 0.7495 0.7360 0.9305  6 Y 3.37-3.48, 2 Dy 3.44-3.47
Er: 0.2495 0.9305 0.7360  6 Y 3.37-3.48, 2 Dy 3.44-3.47
Er: 0.2505 0.2640 0.0695  6 Y 3.37-3.48, 2 Dy 3.44-3.47
Er: 0.2500 0.5943 0.4057  4 Dy 3.36-3.46, 4 Y 3.46-3.48, 2 Er 3.76
Er: 0.7500 0.4057 0.5943  4 Dy 3.36-3.46, 4 Y 3.46-3.48, 2 Er 3.76

=====

6.
First-principles (GGA-PBE) data for an optimized crystal structure of BePd2W, as listed in the Alexandria database.

Values from the calculation:
- Energy of formation: -0.259 eV per atom
- Calculated volume: 13.37 A^3/atom
- E_tot: -7.026 eV per atom

Cell lengths 2.7449, 2.7449, 7.0959 Å; angles 90.00, 90.00, 90.00 degrees
Closest atoms and distances in Å follow each position.
Positions (direct):
Be: 0.5000 0.5000 0.0000  8 Pd 2.43
Pd: 0.0000 0.0000 0.7947  4 Be 2.43
Pd: 0.0000 0.0000 0.2053  4 Be 2.43
W: 0.5000 0.5000 0.5000  4 W 2.74, 8 Pd 2.85

=====

Which value of calculated volume does entry 1 give? 24.30 A^3/atom

=====

Please write out number 1 again, unchanged.
First-principles (GGA-PBE) data for an optimized crystal structure of InReTe2, as listed in the Alexandria database.

Values from the calculation:
- Calculated volume: 24.30 A^3/atom
- Raw formation energy: 609 meV per atom
- E_tot: -4.758 eV per atom

Cell lengths 3.1437, 3.1437, 10.8488 Å; angles 90.00, 90.00, 114.95 degrees
Closest atoms and distances in Å follow each position.
Positions (direct):
In: 0.0000 0.0000 0.5399  2 Re 2.85, 4 In 3.14
Re: 0.5000 0.5000 0.7516  2 Te 2.66, 2 In 2.85
Te: 0.0000 0.0000 0.9405  2 Re 2.66
Te: 0.5000 0.5000 0.2680  6 Te 3.14-3.38, 2 In 3.40

=====

calculated volume of number 2 (CrSb2Cl)? 31.95 A^3/atom